Below is an optimized crystal structure of TaAlPb2, with properties calculated at the PBE level.

Properties
SG: R-3m
Calculated total energy (eV per atom): -5.238
Crystal system: trigonal
Magnetic moment (μB per formula unit): 0.0
Calculated formation energy (meV/atom): 515

Cell: 11.3382 11.3382 11.3382 Å, 16.04 16.04 16.04°
Last column: nearest neighbours and their distance in Å.
Fractional positions:
Ta (0.0000, 0.0000, 0.0000)  6 Ta 3.16, 6 Pb 3.19
Al (0.5000, 0.5000, 0.5000)  6 Al 3.16, 6 Pb 3.49
Pb (0.2554, 0.2554, 0.2554)  6 Pb 3.16, 3 Ta 3.19, 3 Al 3.49
Pb (0.7446, 0.7446, 0.7446)  6 Pb 3.16, 3 Ta 3.19, 3 Al 3.49

Below is an optimized crystal structure of CePuSnHg, with properties calculated at the PBE level.

Properties
SG: P4mm
Calculated total energy (eV per atom): -6.494
Crystal system: tetragonal
Magnetic moment (μB per formula unit): 6.9
Calculated formation energy (meV/atom): -351
Excess energy over the best structure of this formula in the dataset (eV per atom): 0.0000

Cell: 4.1555 4.1555 6.1741 Å, 90.00 90.00 90.00°
Last column: nearest neighbours and their distance in Å.
Fractional positions:
Ce (0.0000, 0.0000, 0.0000)  1 Pu 2.88
Pu (0.0000, 0.0000, 0.4667)  1 Ce 2.88
Sn (0.5000, 0.5000, 0.2366)  2 Hg 3.06-3.12, 4 Pu 3.26, 4 Ce 3.28
Hg (0.5000, 0.5000, 0.7316)  2 Sn 3.06-3.12, 4 Pu 3.36, 4 Ce 3.37

Below is an optimized crystal structure of PmGdBiPb, with properties calculated at the PBE level.

Properties
SG: F-43m
Calculated total energy (eV per atom): -7.133
Crystal system: cubic
Magnetic moment (μB per formula unit): 7.5
Calculated formation energy (meV/atom): -528

Cell: 5.5601 5.5601 5.5601 Å, 60.00 60.00 60.00°
Last column: nearest neighbours and their distance in Å.
Fractional positions:
Pm (0.0000, 0.0000, 0.0000)  4 Pb 3.40, 4 Bi 3.40
Gd (0.5000, 0.5000, 0.5000)  4 Bi 3.40, 4 Pb 3.40
Bi (0.7500, 0.7500, 0.7500)  4 Gd 3.40, 4 Pm 3.40
Pb (0.2500, 0.2500, 0.2500)  4 Gd 3.40, 4 Pm 3.40

Below is an optimized crystal structure of Sm8Dy5Cd, with properties calculated at the PBE level.

Properties
SG: I-4
Calculated total energy (eV per atom): -4.244
Crystal system: tetragonal
Magnetic moment (μB per formula unit): 0.0
Calculated formation energy (meV/atom): 162

Cell: 8.5760 8.5760 8.5760 Å, 103.82 103.82 121.49°
Last column: nearest neighbours and their distance in Å.
Fractional positions:
Sm (0.0145, 0.1724, 0.8385)  1 Dy 3.19, 1 Cd 3.21, 2 Sm 3.38-3.49
Sm (0.2823, 0.6958, 0.9835)  1 Cd 3.10, 2 Dy 3.34-3.40
Sm (0.3042, 0.2877, 0.5865)  1 Cd 3.10, 2 Dy 3.34-3.40
Sm (0.3339, 0.1760, 0.1615)  1 Dy 3.19, 1 Cd 3.21, 2 Sm 3.38-3.49
Sm (0.7012, 0.7177, 0.4135)  1 Cd 3.10, 2 Dy 3.34-3.40
Sm (0.7123, 0.2988, 0.0165)  1 Cd 3.10, 2 Dy 3.34-3.40
Sm (0.8240, 0.9855, 0.1579)  1 Dy 3.19, 1 Cd 3.21, 2 Sm 3.38-3.49
Sm (0.8276, 0.6661, 0.8421)  1 Dy 3.19, 1 Cd 3.21, 2 Sm 3.38-3.49
Dy (0.1498, 0.8431, 0.6843)  3 Sm 3.19-3.40, 2 Dy 3.25
Dy (0.1569, 0.8412, 0.3067)  3 Sm 3.19-3.40, 2 Dy 3.25
Dy (0.1588, 0.4655, 0.3157)  3 Sm 3.19-3.40, 2 Dy 3.25
Dy (0.5345, 0.8502, 0.6933)  3 Sm 3.19-3.40, 2 Dy 3.25
Dy (0.7500, 0.2500, 0.5000)  4 Sm 3.66, 4 Dy 3.93
Cd (0.5000, 0.5000, 0.0000)  8 Sm 3.10-3.21

Below is an optimized crystal structure of Ba2SrCd2, with properties calculated at the PBE level.

Properties
SG: I4/mmm
Calculated total energy (eV per atom): -1.527
Crystal system: tetragonal
Magnetic moment (μB per formula unit): 0.0
Calculated formation energy (meV/atom): -55
Excess energy over the best structure of this formula in the dataset (eV per atom): 0.1897

Cell: 12.6231 12.6231 12.6231 Å, 159.91 159.91 28.56°
Last column: nearest neighbours and their distance in Å.
Fractional positions:
Ba (0.1326, 0.1326, 0.0000)  4 Cd 3.62
Ba (0.8674, 0.8674, 0.0000)  4 Cd 3.62
Sr (0.5000, 0.5000, 0.0000)  4 Sr 4.40, 8 Ba 4.50
Cd (0.2500, 0.7500, 0.5000)  4 Cd 3.11
Cd (0.7500, 0.2500, 0.5000)  4 Cd 3.11

Below is an optimized crystal structure of Ce10Sn3Pb3, with properties calculated at the PBE level.

Properties
SG: P-62m
Calculated total energy (eV per atom): -5.568
Crystal system: hexagonal
Magnetic moment (μB per formula unit): 8.5
Calculated formation energy (meV/atom): -413

Cell: 9.4152 9.4152 6.4148 Å, 90.00 90.00 120.00°
Last column: nearest neighbours and their distance in Å.
Fractional positions:
Ce (0.0000, 0.2521, 0.0000)  3 Pb 3.23-3.36, 2 Sn 3.43
Ce (0.0000, 0.7493, 0.5000)  3 Sn 3.17-3.46, 2 Pb 3.47
Ce (0.2507, 0.2507, 0.5000)  3 Sn 3.17-3.46, 2 Pb 3.47
Ce (0.2521, 0.0000, 0.0000)  3 Pb 3.23-3.36, 2 Sn 3.43
Ce (0.3333, 0.6667, 0.2850)  1 Ce 2.76
Ce (0.3333, 0.6667, 0.7150)  1 Ce 2.76
Ce (0.6667, 0.3333, 0.2850)  1 Ce 2.76
Ce (0.6667, 0.3333, 0.7150)  1 Ce 2.76
Ce (0.7479, 0.7479, 0.0000)  3 Pb 3.23-3.36, 2 Sn 3.43
Ce (0.7493, 0.0000, 0.5000)  3 Sn 3.17-3.46, 2 Pb 3.47
Sn (0.0000, 0.3823, 0.5000)  9 Ce 3.17-3.46
Sn (0.3823, 0.0000, 0.5000)  9 Ce 3.17-3.46
Sn (0.6177, 0.6177, 0.5000)  9 Ce 3.17-3.46
Pb (0.0000, 0.6089, 0.0000)  9 Ce 3.23-3.47
Pb (0.3911, 0.3911, 0.0000)  9 Ce 3.23-3.47
Pb (0.6089, 0.0000, 0.0000)  9 Ce 3.23-3.47

Below is an optimized crystal structure of NbCrTc, with properties calculated at the PBE level.

Properties
SG: P-3m1
Calculated total energy (eV per atom): -9.991
Crystal system: trigonal
Magnetic moment (μB per formula unit): 0.0
Calculated formation energy (meV/atom): 28
Excess energy over the best structure of this formula in the dataset (eV per atom): 0.0996

Cell: 4.3842 4.3842 5.3711 Å, 90.00 90.00 120.00°
Last column: nearest neighbours and their distance in Å.
Fractional positions:
Nb (0.3333, 0.6667, 0.0887)  2 Tc 2.68-2.69, 3 Nb 2.70, 3 Cr 2.73
Nb (0.6667, 0.3333, 0.9113)  2 Tc 2.68-2.69, 3 Nb 2.70, 3 Cr 2.73
Cr (0.0000, 0.0000, 0.2777)  1 Cr 2.39, 3 Tc 2.63
Cr (0.0000, 0.0000, 0.7223)  1 Cr 2.39, 3 Tc 2.63
Tc (0.3333, 0.6667, 0.5890)  3 Cr 2.63, 2 Nb 2.68-2.69, 3 Tc 2.71
Tc (0.6667, 0.3333, 0.4110)  3 Cr 2.63, 2 Nb 2.68-2.69, 3 Tc 2.71

Below is an optimized crystal structure of CsV, with properties calculated at the PBE level.

Properties
SG: F-43m
Calculated total energy (eV per atom): -1.956
Crystal system: cubic
Magnetic moment (μB per formula unit): 0.0
Calculated formation energy (meV/atom): 3030
Excess energy over the best structure of this formula in the dataset (eV per atom): 2.1793

Cell: 4.2883 4.2883 4.2883 Å, 60.00 60.00 60.00°
Last column: nearest neighbours and their distance in Å.
Fractional positions:
Cs (0.0000, 0.0000, 0.0000)  4 V 2.63
V (0.2500, 0.2500, 0.2500)  4 Cs 2.63

Below is an optimized crystal structure of TeRhSe, with properties calculated at the PBE level.

Properties
SG: P2_13
ΔE_f (raw) (eV per atom): -0.404
Calculated total energy (eV per atom): -5.063
Crystal system: cubic
Magnetic moment (μB per formula unit): 0.0
Excess energy over the best structure of this formula in the dataset (eV per atom): 0.0000

Cell: 6.3200 6.3200 6.3200 Å, 90.00 90.00 90.00°
Last column: nearest neighbours and their distance in Å.
Fractional positions:
Te (0.1295, 0.3705, 0.6295)  3 Rh 2.65, 1 Se 2.75
Te (0.3705, 0.6295, 0.1295)  3 Rh 2.65, 1 Se 2.75
Te (0.6295, 0.1295, 0.3705)  3 Rh 2.65, 1 Se 2.75
Te (0.8705, 0.8705, 0.8705)  3 Rh 2.65, 1 Se 2.75
Rh (0.0068, 0.9932, 0.4932)  3 Se 2.59, 3 Te 2.65
Rh (0.4932, 0.0068, 0.9932)  3 Se 2.59, 3 Te 2.65
Rh (0.5068, 0.5068, 0.5068)  3 Se 2.59, 3 Te 2.65
Rh (0.9932, 0.4932, 0.0068)  3 Se 2.59, 3 Te 2.65
Se (0.1215, 0.1215, 0.1215)  3 Rh 2.59, 1 Te 2.75
Se (0.3785, 0.8785, 0.6215)  3 Rh 2.59, 1 Te 2.75
Se (0.6215, 0.3785, 0.8785)  3 Rh 2.59, 1 Te 2.75
Se (0.8785, 0.6215, 0.3785)  3 Rh 2.59, 1 Te 2.75

Below is an optimized crystal structure of Tl2CdTc, with properties calculated at the PBE level.

Properties
SG: F-43m
Calculated total energy (eV per atom): -3.203
Crystal system: cubic
Magnetic moment (μB per formula unit): 2.2
Calculated formation energy (meV/atom): 800
Excess energy over the best structure of this formula in the dataset (eV per atom): 0.3490

Cell: 5.0706 5.0706 5.0706 Å, 60.00 60.00 60.00°
Last column: nearest neighbours and their distance in Å.
Fractional positions:
Tl (0.0000, 0.0000, 0.0000)  4 Cd 3.11, 4 Tl 3.11
Tl (0.2500, 0.2500, 0.2500)  4 Tl 3.11, 4 Tc 3.11
Cd (0.7500, 0.7500, 0.7500)  4 Tl 3.11, 4 Tc 3.11
Tc (0.5000, 0.5000, 0.5000)  4 Cd 3.11, 4 Tl 3.11

Below is an optimized crystal structure of Ca2TlSb, with properties calculated at the PBE level.

Properties
SG: Cmmm
ΔE_f (raw) (eV per atom): -0.606
Calculated total energy (eV per atom): -3.229
Crystal system: orthorhombic
Magnetic moment (μB per formula unit): 0.0
Excess energy over the best structure of this formula in the dataset (eV per atom): 0.0575

Cell: 5.7595 5.7595 3.5466 Å, 90.00 90.00 100.61°
Last column: nearest neighbours and their distance in Å.
Fractional positions:
Ca (0.0000, 0.5000, 0.0000)  4 Sb 3.38, 4 Tl 3.38, 4 Ca 3.55-3.68
Ca (0.5000, 0.0000, 0.0000)  4 Sb 3.38, 4 Tl 3.38, 4 Ca 3.55-3.68
Tl (0.0000, 0.0000, 0.5000)  8 Ca 3.38, 2 Tl 3.55, 2 Sb 3.68
Sb (0.5000, 0.5000, 0.5000)  8 Ca 3.38, 2 Sb 3.55, 2 Tl 3.68

Below is an optimized crystal structure of Pd4PtAu5, with properties calculated at the PBE level.

Properties
SG: P4/mmm
Calculated total energy (eV per atom): -4.341
Crystal system: tetragonal
Magnetic moment (μB per formula unit): 0.0
Calculated formation energy (meV/atom): -21
Excess energy over the best structure of this formula in the dataset (eV per atom): 0.0236

Cell: 3.2275 3.2275 16.1216 Å, 90.00 90.00 90.00°
Last column: nearest neighbours and their distance in Å.
Fractional positions:
Pd (0.0000, 0.0000, 0.1000)  8 Au 2.79
Pd (0.0000, 0.0000, 0.2998)  8 Au 2.79-2.80
Pd (0.0000, 0.0000, 0.7002)  8 Au 2.79-2.80
Pd (0.0000, 0.0000, 0.9000)  8 Au 2.79
Pt (0.0000, 0.0000, 0.5000)  8 Au 2.80
Au (0.5000, 0.5000, 0.0000)  8 Pd 2.79
Au (0.5000, 0.5000, 0.1997)  8 Pd 2.79-2.80
Au (0.5000, 0.5000, 0.3997)  4 Pd 2.79, 4 Pt 2.80
Au (0.5000, 0.5000, 0.6003)  4 Pd 2.79, 4 Pt 2.80
Au (0.5000, 0.5000, 0.8003)  8 Pd 2.79-2.80